No. 1
Ca2Al3: single point on PBEsol structure, SCAN.

It has space group Fdd2 (No. 43), with a = 10.0672 Å, b = 15.6650 Å, c = 6.0474 Å, α = 90.00°, β = 90.00° and γ = 90.00°. Symmetry generates all atoms from Ca at (0.0789, 0.3003, 0.0000), Al at (0.0000, 0.0000, 0.2836) and Al at (0.0753, 0.3769, 0.4946).

The value obtained for the energy relative to the elements is -0.261 eV/atom. For the magnetization, the calculation gives 1.49 Bohr magnetons per cell.


No. 2
CaAl3: single point on PBEsol structure, SCAN.

It has space group Pmm2 (No. 25), with a = 3.5196 Å, b = 4.4301 Å, c = 5.4969 Å, α = 90.00°, β = 90.00° and γ = 90.00°. Symmetry generates all atoms from Ca at (0.0000, 0.0000, 0.0000), Al at (0.0000, 0.5000, 0.6002), Al at (0.5000, 0.0000, 0.5049) and Al at (0.5000, 0.5000, 0.2098).

The value obtained for the energy relative to the elements is 0.009 eV/atom. For the magnetization, the calculation gives 0.07 Bohr magnetons per cell.


No. 3
Ca8Al: single point on PBEsol structure, SCAN.

It has space group I4/mmm (No. 139), with a = 11.0294 Å, b = 11.0294 Å, c = 5.2682 Å, α = 90.00°, β = 90.00° and γ = 90.00°. Symmetry generates all atoms from Ca at (0.0000, 0.3210, 0.0000), Ca at (0.1552, 0.1552, 0.5000) and Al at (0.0000, 0.0000, 0.0000).

The value obtained for the energy relative to the elements is 0.012 eV/atom. For the magnetization, the calculation gives 0.29 Bohr magnetons per cell.


No. 4
CaAl: single point on PBEsol structure, SCAN.

It has space group R-3m (No. 166, hexagonal axes), with a = 4.5462 Å, b = 4.5462 Å, c = 18.6112 Å, α = 90.00°, β = 90.00° and γ = 120.00°. Symmetry generates all atoms from Ca at (0.0000, 0.0000, 0.1002) and Al at (0.0000, 0.0000, 0.3199).

The value obtained for the energy relative to the elements is -0.168 eV/atom. For the magnetization, the calculation gives 0.46 Bohr magnetons per cell.


No. 5
Ca3Al: single point on PBEsol structure, SCAN.

It has space group Pmmn (No. 59, origin choice 2), with a = 7.1843 Å, b = 16.7100 Å, c = 6.0390 Å, α = 90.00°, β = 90.00° and γ = 90.00°. Symmetry generates all atoms from Ca at (0.9997, 0.0835, 0.1721), Ca at (0.0005, 0.2500, 0.8258), Ca at (0.2500, 0.0830, 0.6349), Ca at (0.2500, 0.7500, 0.6368), Al at (0.2500, 0.2500, 0.3032) and Al at (0.2500, 0.5834, 0.3044).

The value obtained for the energy relative to the elements is -0.048 eV/atom. For the magnetization, the calculation gives 0.00 Bohr magnetons per cell.


No. 6
CaAl: single point on PBEsol structure, SCAN.

It has space group Pmma (No. 51), with a = 4.9633 Å, b = 3.5991 Å, c = 5.4407 Å, α = 90.00°, β = 90.00° and γ = 90.00°. Symmetry generates all atoms from Ca at (0.2500, 0.0000, 0.1972) and Al at (0.2500, 0.5000, 0.6663).

The value obtained for the energy relative to the elements is -0.200 eV/atom. For the magnetization, the calculation gives 0.00 Bohr magnetons per cell.